P) Below is an optimized crystal structure of TlZn2Ge2, with properties calculated at the PBE level.

Lattice parameters (Å, degrees): 4.4205 4.4205 6.2651 69.34 69.34 90.00
Closest atoms and distances in Å follow each position.
Fractional positions:
Zn: 0.2500 0.7500 0.5000  4 Ge 2.64
Zn: 0.7500 0.2500 0.5000  4 Ge 2.64
Ge: 0.3832 0.3832 0.2335  1 Ge 2.54, 4 Zn 2.64
Ge: 0.6168 0.6168 0.7665  1 Ge 2.54, 4 Zn 2.64
Tl: 0.0000 0.0000 0.0000  8 Ge 3.37, 8 Zn 3.50

Output
density = 7.520 g/cm3
M_tot = 0.000 μB per cell
space group = I4/mmm (139)

Q) Below is an optimized crystal structure of TlZn2Ge2, with properties calculated at the PBE level.

Lattice parameters (Å, degrees): 8.1477 8.1477 3.0362 90.00 90.00 90.00
Closest atoms and distances in Å follow each position.
Fractional positions:
Zn: 0.3619 0.8619 0.0000  6 Ge 2.82-2.85, 2 Zn 3.04, 2 Tl 3.16
Zn: 0.6381 0.1381 0.0000  6 Ge 2.82-2.85, 2 Zn 3.04, 2 Tl 3.16
Zn: 0.1381 0.3619 0.0000  6 Ge 2.82-2.85, 2 Zn 3.04, 2 Tl 3.16
Zn: 0.8619 0.6381 0.0000  6 Ge 2.82-2.85, 2 Zn 3.04, 2 Tl 3.16
Tl: 0.5000 0.5000 0.0000  2 Tl 3.04, 4 Zn 3.16
Tl: 0.0000 0.0000 0.0000  2 Tl 3.04, 4 Zn 3.16
Ge: 0.6530 0.8470 0.5000  6 Zn 2.82-2.85, 2 Ge 3.04
Ge: 0.1530 0.6530 0.5000  6 Zn 2.82-2.85, 2 Ge 3.04
Ge: 0.3470 0.1530 0.5000  6 Zn 2.82-2.85, 2 Ge 3.04
Ge: 0.8470 0.3470 0.5000  6 Zn 2.82-2.85, 2 Ge 3.04

Output
density = 7.917 g/cm3
M_tot = 0.000 μB per cell
space group = P4/mbm (127)

Short version: Q) is the least stable of them.

P) Below is an optimized crystal structure of Tl2Zn2Ge, with properties calculated at the PBE level.

Lattice parameters (Å, degrees): 4.3973 4.3973 7.0141 71.73 71.73 90.00
Closest atoms and distances in Å follow each position.
Fractional positions:
Tl: 0.7500 0.2500 0.5000  4 Zn 2.95, 4 Tl 3.11
Tl: 0.2500 0.7500 0.5000  4 Zn 2.95, 4 Tl 3.11
Zn: 0.4060 0.4060 0.1880  1 Zn 2.36
Zn: 0.5940 0.5940 0.8120  1 Zn 2.36
Ge: 0.0000 0.0000 0.0000  8 Zn 3.33

Output
density = 8.362 g/cm3
M_tot = 0.000 μB per cell
space group = I4/mmm (139)

Q) Below is an optimized crystal structure of Tl2Zn2Ge, with properties calculated at the PBE level.

Lattice parameters (Å, degrees): 8.5295 8.5295 3.2250 90.00 90.00 90.00
Closest atoms and distances in Å follow each position.
Fractional positions:
Tl: 0.3063 0.8063 0.0000  6 Zn 2.90-3.12, 2 Ge 3.09, 2 Tl 3.23
Tl: 0.1937 0.3063 0.0000  6 Zn 2.90-3.12, 2 Ge 3.09, 2 Tl 3.23
Tl: 0.6937 0.1937 0.0000  6 Zn 2.90-3.12, 2 Ge 3.09, 2 Tl 3.23
Tl: 0.8063 0.6937 0.0000  6 Zn 2.90-3.12, 2 Ge 3.09, 2 Tl 3.23
Zn: 0.3932 0.1068 0.5000  1 Zn 2.58
Zn: 0.8932 0.3932 0.5000  1 Zn 2.58
Zn: 0.1068 0.6068 0.5000  1 Zn 2.58
Zn: 0.6068 0.8932 0.5000  1 Zn 2.58
Ge: 0.5000 0.5000 0.0000  4 Tl 3.09, 2 Ge 3.23
Ge: 0.0000 0.0000 0.0000  4 Tl 3.09, 2 Ge 3.23

Output
density = 8.666 g/cm3
M_tot = 0.000 μB per cell
space group = P4/mbm (127)

Short version: P) is the least stable of them.

P) Below is an optimized crystal structure of Tl2ZnGe, with properties calculated at the PBE level.

Lattice parameters (Å, degrees): 8.0957 8.0957 6.5073 51.53 51.53 90.00
Closest atoms and distances in Å follow each position.
Fractional positions:
Ge: 0.7500 0.2500 0.5000  4 Tl 2.98, 2 Zn 3.09
Ge: 0.0000 0.0000 0.0000  4 Tl 2.98, 2 Zn 3.09
Zn: 0.5000 0.5000 0.0000  4 Tl 2.95, 2 Ge 3.09
Zn: 0.2500 0.7500 0.5000  4 Tl 2.95, 2 Ge 3.09
Tl: 0.3750 0.3785 0.7500  2 Zn 2.95, 2 Ge 2.98, 2 Tl 3.09
Tl: 0.6215 0.1250 0.2500  2 Zn 2.95, 2 Ge 2.98, 2 Tl 3.09
Tl: 0.8750 0.8715 0.7500  2 Zn 2.95, 2 Ge 2.98, 2 Tl 3.09
Tl: 0.1285 0.6250 0.2500  2 Zn 2.95, 2 Ge 2.98, 2 Tl 3.09

Output
density = 8.954 g/cm3
M_tot = 0.000 μB per cell
space group = I-42d (122)

Q) Below is an optimized crystal structure of Tl2ZnGe, with properties calculated at the PBE level.

Lattice parameters (Å, degrees): 5.1817 5.1817 5.1817 60.00 60.00 60.00
Closest atoms and distances in Å follow each position.
Fractional positions:
Tl: 0.7500 0.7500 0.7500  4 Zn 3.17, 4 Ge 3.17
Tl: 0.2500 0.2500 0.2500  4 Ge 3.17, 4 Zn 3.17
Ge: 0.5000 0.5000 0.5000  8 Tl 3.17
Zn: 0.0000 0.0000 0.0000  8 Tl 3.17

Output
density = 9.230 g/cm3
M_tot = 0.000 μB per cell
space group = Fm-3m (225)

Short version: P) is the least stable of them.

P) Below is an optimized crystal structure of Tl2ZnGe2, with properties calculated at the PBE level.

Lattice parameters (Å, degrees): 3.7534 3.7534 9.3024 78.36 78.36 90.00
Closest atoms and distances in Å follow each position.
Fractional positions:
Tl: 0.6012 0.6012 0.7976  4 Zn 3.21, 4 Ge 3.25
Tl: 0.3988 0.3988 0.2024  4 Zn 3.21, 4 Ge 3.25
Ge: 0.2500 0.7500 0.5000  4 Ge 2.65
Ge: 0.7500 0.2500 0.5000  4 Ge 2.65
Zn: 0.0000 0.0000 0.0000  8 Tl 3.21

Output
density = 8.189 g/cm3
M_tot = 0.000 μB per cell
space group = I4/mmm (139)

Q) Below is an optimized crystal structure of Tl2ZnGe2, with properties calculated at the PBE level.

Lattice parameters (Å, degrees): 7.7833 7.7833 4.2691 90.00 90.00 90.00
Closest atoms and distances in Å follow each position.
Fractional positions:
Zn: 0.0000 0.0000 0.0000  4 Tl 2.86
Zn: 0.5000 0.5000 0.0000  4 Tl 2.86
Ge: 0.1154 0.6154 0.5000  1 Ge 2.54
Ge: 0.6154 0.8846 0.5000  1 Ge 2.54
Ge: 0.8846 0.3846 0.5000  1 Ge 2.54
Ge: 0.3846 0.1154 0.5000  1 Ge 2.54
Tl: 0.1783 0.3217 0.0000  2 Zn 2.86, 6 Ge 3.12-3.17
Tl: 0.8217 0.6783 0.0000  2 Zn 2.86, 6 Ge 3.12-3.17
Tl: 0.6783 0.1783 0.0000  2 Zn 2.86, 6 Ge 3.12-3.17
Tl: 0.3217 0.8217 0.0000  2 Zn 2.86, 6 Ge 3.12-3.17

Output
density = 7.955 g/cm3
M_tot = 0.000 μB per cell
space group = P4/mbm (127)

R) Below is an optimized crystal structure of Tl2ZnGe2, with properties calculated at the PBE level.

Lattice parameters (Å, degrees): 6.6728 6.6728 5.4300 90.00 90.00 90.00
Closest atoms and distances in Å follow each position.
Fractional positions:
Zn: 0.5000 0.5000 0.0000  4 Ge 2.59
Zn: 0.0000 0.0000 0.0000  4 Ge 2.59
Ge: 0.8625 0.6375 0.0000  2 Zn 2.59, 1 Ge 2.60
Ge: 0.6375 0.1375 0.0000  2 Zn 2.59, 1 Ge 2.60
Ge: 0.1375 0.3625 0.0000  2 Zn 2.59, 1 Ge 2.60
Ge: 0.3625 0.8625 0.0000  2 Zn 2.59, 1 Ge 2.60
Tl: 0.8208 0.3208 0.5000  6 Ge 3.22-3.45, 5 Tl 3.38-3.47
Tl: 0.1792 0.6792 0.5000  6 Ge 3.22-3.45, 5 Tl 3.38-3.47
Tl: 0.3208 0.1792 0.5000  6 Ge 3.22-3.45, 5 Tl 3.38-3.47
Tl: 0.6792 0.8208 0.5000  6 Ge 3.22-3.45, 5 Tl 3.38-3.47

Output
density = 8.509 g/cm3
M_tot = 0.000 μB per cell
space group = P4/mbm (127)

Short version: Q) is the least stable of them.

P) Below is an optimized crystal structure of ZrTl2Ge, with properties calculated at the PBE level.

Lattice parameters (Å, degrees): 8.1521 8.1521 6.4753 50.99 50.99 90.00
Closest atoms and distances in Å follow each position.
Fractional positions:
Ge: 0.5000 0.5000 0.0000  4 Tl 2.88, 2 Zr 2.95
Ge: 0.2500 0.7500 0.5000  4 Tl 2.88, 2 Zr 2.95
Tl: 0.6081 0.1250 0.2500  2 Ge 2.88, 2 Tl 2.96, 2 Zr 3.07
Tl: 0.3750 0.3919 0.7500  2 Ge 2.88, 2 Tl 2.96, 2 Zr 3.07
Tl: 0.1419 0.6250 0.2500  2 Ge 2.88, 2 Tl 2.96, 2 Zr 3.07
Tl: 0.8750 0.8581 0.7500  2 Ge 2.88, 2 Tl 2.96, 2 Zr 3.07
Zr: 0.7500 0.2500 0.5000  2 Ge 2.95, 4 Tl 3.07
Zr: 0.0000 0.0000 0.0000  2 Ge 2.95, 4 Tl 3.07

Output
density = 9.701 g/cm3
M_tot = 0.000 μB per cell
space group = I-42d (122)

Q) Below is an optimized crystal structure of ZrTl2Ge, with properties calculated at the PBE level.

Lattice parameters (Å, degrees): 5.1849 5.1849 5.1849 60.00 60.00 60.00
Closest atoms and distances in Å follow each position.
Fractional positions:
Tl: 0.7500 0.7500 0.7500  4 Zr 3.18, 4 Ge 3.18
Tl: 0.2500 0.2500 0.2500  4 Zr 3.18, 4 Ge 3.18
Ge: 0.0000 0.0000 0.0000  8 Tl 3.18
Zr: 0.5000 0.5000 0.5000  8 Tl 3.18

Output
density = 9.648 g/cm3
M_tot = 0.000 μB per cell
space group = Fm-3m (225)

Short version: Q) is the least stable of them.

P) Below is an optimized crystal structure of Tm5Ge3, with properties calculated at the PBE level.

Lattice parameters (Å, degrees): 7.6600 7.6600 8.4825 116.84 116.84 90.00
Closest atoms and distances in Å follow each position.
Fractional positions:
Ge: 0.1438 0.6438 0.0000  8 Tm 2.87-3.00, 1 Ge 3.12
Ge: 0.7500 0.7500 0.5000  10 Tm 3.19-3.26
Ge: 0.6438 0.8562 0.0000  8 Tm 2.87-3.00, 1 Ge 3.12
Ge: 0.8562 0.3562 0.0000  8 Tm 2.87-3.00, 1 Ge 3.12
Ge: 0.2500 0.2500 0.5000  10 Tm 3.19-3.26
Ge: 0.3562 0.1438 0.0000  8 Tm 2.87-3.00, 1 Ge 3.12
Tm: 0.3048 0.4874 0.2922  5 Ge 2.87-3.19
Tm: 0.0126 0.1952 0.7078  5 Ge 2.87-3.19
Tm: 0.5000 0.5000 0.0000  6 Ge 2.94-3.26
Tm: 0.5126 0.0126 0.7078  5 Ge 2.87-3.19
Tm: 0.6952 0.5126 0.7078  5 Ge 2.87-3.19
Tm: 0.0000 0.0000 0.0000  6 Ge 2.94-3.26
Tm: 0.4874 0.9874 0.2922  5 Ge 2.87-3.19
Tm: 0.8048 0.3048 0.2922  5 Ge 2.87-3.19
Tm: 0.9874 0.8048 0.2922  5 Ge 2.87-3.19
Tm: 0.1952 0.6952 0.7078  5 Ge 2.87-3.19

Output
density = 9.213 g/cm3
M_tot = 0.000 μB per cell
space group = I4/mcm (140)

Q) Below is an optimized crystal structure of Tm5Ge3, with properties calculated at the PBE level.

Lattice parameters (Å, degrees): 8.3757 8.3757 6.2903 90.00 90.00 120.00
Closest atoms and distances in Å follow each position.
Fractional positions:
Tm: 0.0000 0.2411 0.7500  3 Ge 2.88-3.06
Tm: 0.3333 0.6667 0.0000  6 Ge 3.02, 2 Tm 3.15
Tm: 0.2411 0.2411 0.2500  3 Ge 2.88-3.06
Tm: 0.7589 0.7589 0.7500  3 Ge 2.88-3.06
Tm: 0.0000 0.7589 0.2500  3 Ge 2.88-3.06
Tm: 0.7589 0.0000 0.2500  3 Ge 2.88-3.06
Tm: 0.3333 0.6667 0.5000  6 Ge 3.02, 2 Tm 3.15
Tm: 0.6667 0.3333 0.0000  6 Ge 3.02, 2 Tm 3.15
Tm: 0.6667 0.3333 0.5000  6 Ge 3.02, 2 Tm 3.15
Tm: 0.2411 0.0000 0.7500  3 Ge 2.88-3.06
Ge: 0.6061 0.6061 0.2500  7 Tm 2.88-3.06
Ge: 0.0000 0.6061 0.7500  7 Tm 2.88-3.06
Ge: 0.3939 0.3939 0.7500  7 Tm 2.88-3.06
Ge: 0.6061 0.0000 0.7500  7 Tm 2.88-3.06
Ge: 0.0000 0.3939 0.2500  7 Tm 2.88-3.06
Ge: 0.3939 0.0000 0.2500  7 Tm 2.88-3.06

Output
density = 9.234 g/cm3
M_tot = 0.000 μB per cell
space group = P6_3/mcm (193)

Short version: P) is the least stable of them.

P) Below is an optimized crystal structure of Tm2Ge3, with properties calculated at the PBE level.

Lattice parameters (Å, degrees): 4.0968 7.2310 7.2310 90.00 90.00 90.00
Closest atoms and distances in Å follow each position.
Fractional positions:
Tm: 0.5000 0.8214 0.3214  6 Ge 2.87-3.02
Tm: 0.5000 0.6786 0.8214  6 Ge 2.87-3.02
Tm: 0.5000 0.1786 0.6786  6 Ge 2.87-3.02
Tm: 0.5000 0.3214 0.1786  6 Ge 2.87-3.02
Ge: 0.0000 0.8758 0.6242  1 Ge 2.54
Ge: 0.0000 0.1242 0.3758  1 Ge 2.54
Ge: 0.0000 0.0000 0.0000  4 Ge 2.86
Ge: 0.0000 0.5000 0.5000  4 Ge 2.86
Ge: 0.0000 0.6242 0.1242  1 Ge 2.54
Ge: 0.0000 0.3758 0.8758  1 Ge 2.54

Output
density = 8.617 g/cm3
M_tot = 0.000 μB per cell
space group = P4/mbm (127)

Q) Below is an optimized crystal structure of Tm2Ge3, with properties calculated at the PBE level.

Lattice parameters (Å, degrees): 4.0352 5.5843 5.5843 69.81 68.82 68.82
Closest atoms and distances in Å follow each position.
Fractional positions:
Tm: 0.2250 0.2750 0.2750  8 Ge 2.97-3.03
Tm: 0.7750 0.7250 0.7250  8 Ge 2.97-3.03
Ge: 0.5000 0.3005 0.6995  3 Ge 2.55-2.79
Ge: 0.5000 0.6995 0.3005  3 Ge 2.55-2.79
Ge: 0.0000 0.0000 0.0000  4 Ge 2.79, 4 Tm 3.03

Output
density = 8.705 g/cm3
M_tot = 0.000 μB per cell
space group = Immm (71)

Short version: P) is the least stable of them.

P) Below is an optimized crystal structure of TmUGe2, with properties calculated at the PBE level.

Lattice parameters (Å, degrees): 4.1316 4.1316 6.9549 72.72 72.72 60.00
Closest atoms and distances in Å follow each position.
Fractional positions:
U: 0.0000 0.0000 0.0000  6 Ge 2.85
Ge: 0.2537 0.2537 0.2390  3 U 2.85, 3 Tm 2.93
Ge: 0.7463 0.7463 0.7610  3 U 2.85, 3 Tm 2.93
Tm: 0.5000 0.5000 0.5000  6 Ge 2.93

Output
density = 9.495 g/cm3
M_tot = 0.917 μB per cell
space group = R-3m (166)

Q) Below is an optimized crystal structure of TmUGe2, with properties calculated at the PBE level.

Lattice parameters (Å, degrees): 3.2954 3.2954 7.9181 90.00 90.00 90.00
Closest atoms and distances in Å follow each position.
Fractional positions:
Ge: 0.0000 0.0000 0.7481  4 Tm 3.05, 4 U 3.07, 4 Ge 3.30
Ge: 0.0000 0.0000 0.2519  4 Tm 3.05, 4 U 3.07, 4 Ge 3.30
U: 0.5000 0.5000 0.0000  8 Ge 3.07, 4 U 3.30
Tm: 0.5000 0.5000 0.5000  8 Ge 3.05, 4 Tm 3.30

Output
density = 10.665 g/cm3
M_tot = 2.672 μB per cell
space group = P4/mmm (123)

Short version: Q) is the least stable of them.